Record 1
# Mg4ZnSe2

A PBEsol-optimized structure of Mg4ZnSe2 (meta-GGA SCAN, Alexandria via LeMat-Bulk).

Values from the calculation:
Formation energy from raw total energies: -248 meV/atom
Energy: -75.3 eV/f.u.
ΔE to the lowest computed polymorph: 0 meV per atom
Spin magnetization: 0.0 μB/f.u.

```
data_Mg4ZnSe2
_chemical_formula_sum 'Mg8 Zn2 Se4'
_cell_length_a 6.583
_cell_length_b 6.583
_cell_length_c 7.123
_cell_angle_alpha 90.00
_cell_angle_beta 90.00
_cell_angle_gamma 90.00
_symmetry_space_group_name_H-M 'I 4/m m m'
_symmetry_Int_Tables_number 139
_symmetry_space_group_name_Hall '-I 4 2'
loop_
_atom_site_label
_atom_site_type_symbol
_atom_site_fract_x
_atom_site_fract_y
_atom_site_fract_z
Mg1 Mg 0.220 0.220 0.000
Zn1 Zn 0.000 0.000 0.500
Se1 Se 0.000 0.500 0.250
```

Record 2
# BeH2N

A PBEsol-optimized structure of BeH2N (meta-GGA SCAN, Alexandria via LeMat-Bulk).

Values from the calculation:
Energy: -19.0 eV/f.u.
Spin magnetization: 0.1 μB/f.u.

```
data_BeH2N
_chemical_formula_sum 'Be4 H8 N4'
_cell_length_a 2.366
_cell_length_b 2.366
_cell_length_c 23.598
_cell_angle_alpha 90.00
_cell_angle_beta 90.00
_cell_angle_gamma 90.00
_symmetry_space_group_name_H-M 'I 41/a m d'
_symmetry_Int_Tables_number 141
loop_
_symmetry_equiv_pos_as_xyz
'x,y,z'
'-x,-y,-z'
'-y+1/4,x+3/4,z+1/4'
'y+1/4,-x+3/4,-z+1/4'
'-x+1/2,-y,z+1/2'
'x+1/2,y,-z+1/2'
'y+1/4,-x+1/4,z+3/4'
'-y+1/4,x+1/4,-z+3/4'
'x,-y,-z'
'-x,y,z'
'-y+1/4,-x+1/4,-z+3/4'
'y+1/4,x+1/4,z+3/4'
'-x+1/2,y,-z+1/2'
'x+1/2,-y,z+1/2'
'y+1/4,x+3/4,-z+1/4'
'-y+1/4,-x+3/4,z+1/4'
'x+1/2,y+1/2,z+1/2'
'-x+1/2,-y+1/2,-z+1/2'
'-y+3/4,x+1/4,z+3/4'
'y+3/4,-x+1/4,-z+3/4'
'-x,-y+1/2,z'
'x,y+1/2,-z'
'y+3/4,-x+3/4,z+1/4'
'-y+3/4,x+3/4,-z+1/4'
'x+1/2,-y+1/2,-z+1/2'
'-x+1/2,y+1/2,z+1/2'
'-y+3/4,-x+3/4,-z+1/4'
'y+3/4,x+3/4,z+1/4'
'-x,y+1/2,-z'
'x,-y+1/2,z'
'y+3/4,x+1/4,-z+3/4'
'-y+3/4,-x+1/4,z+3/4'
loop_
_atom_site_label
_atom_site_type_symbol
_atom_site_fract_x
_atom_site_fract_y
_atom_site_fract_z
Be1 Be 0.000 0.250 0.375
H1 H 0.000 0.000 0.000
N1 N 0.000 0.250 0.875
```

Record 3
# Ba3LaZnReWO12

A PBEsol-optimized structure of Ba3LaZnReWO12 (meta-GGA SCAN, Alexandria via LeMat-Bulk).

Values from the calculation:
Formation energy from raw total energies: -2629 meV/atom
Energy: -440.8 eV/f.u.
Spin magnetization: 0.0 μB/f.u.

```
data_Ba3LaZnReWO12
_chemical_formula_sum 'Ba9 La3 Zn3 Re3 W3 O36'
_cell_length_a 5.6598
_cell_length_b 5.6598
_cell_length_c 27.4739
_cell_angle_alpha 90.00
_cell_angle_beta 90.00
_cell_angle_gamma 120.00
_symmetry_space_group_name_H-M 'R 3 m'
_symmetry_Int_Tables_number 160
_symmetry_space_group_name_Hall 'R 3 -2"'
loop_
_atom_site_label
_atom_site_type_symbol
_atom_site_fract_x
_atom_site_fract_y
_atom_site_fract_z
Ba1 Ba 0.0000 0.0000 0.0000
Ba2 Ba 0.0000 0.0000 0.1612
Ba3 Ba 0.0000 0.0000 0.5842
La1 La 0.0000 0.0000 0.4114
Zn1 Zn 0.0000 0.0000 0.2907
Re1 Re 0.0000 0.0000 0.8706
W1 W 0.0000 0.0000 0.7162
O1 O 0.9999 0.4999 0.0071
O2 O 0.0064 0.5032 0.4172
O3 O 0.0184 0.5092 0.5815
O4 O 0.1736 0.3473 0.5026
```

Record 4
# CuRu

A PBEsol-optimized structure of CuRu (meta-GGA SCAN, Alexandria via LeMat-Bulk).

Values from the calculation:
Energy: -49.2 eV/f.u.
ΔE_f: 0.8 eV per formula unit
Spin magnetization: 0.0 μB/f.u.

```
data_CuRu
_chemical_formula_sum 'Cu2 Ru2'
_cell_length_a 2.697
_cell_length_b 4.323
_cell_length_c 4.374
_cell_angle_alpha 90.00
_cell_angle_beta 90.00
_cell_angle_gamma 90.00
_symmetry_space_group_name_H-M 'C m m m'
_symmetry_Int_Tables_number 65
_symmetry_space_group_name_Hall '-C 2 2'
loop_
_atom_site_label
_atom_site_type_symbol
_atom_site_fract_x
_atom_site_fract_y
_atom_site_fract_z
Cu1 Cu 0.000 0.000 0.000
Ru1 Ru 0.000 0.500 0.500
```

Record 5
# Cr2SiBr

A PBEsol-optimized structure of Cr2SiBr (meta-GGA SCAN, Alexandria via LeMat-Bulk).

Values from the calculation:
Formation energy from raw total energies: 390 meV/atom
Energy: -64.7 eV/f.u.
ΔE to the lowest computed polymorph: 467 meV per atom
Spin magnetization: 1.0 μB/f.u.

```
data_Cr2SiBr
_chemical_formula_sum 'Cr6 Si3 Br3'
_cell_length_a 3.0647
_cell_length_b 3.0647
_cell_length_c 22.6670
_cell_angle_alpha 90.00
_cell_angle_beta 90.00
_cell_angle_gamma 120.00
_symmetry_space_group_name_H-M 'R 3 m'
_symmetry_Int_Tables_number 160
_symmetry_space_group_name_Hall 'R 3 -2"'
loop_
_atom_site_label
_atom_site_type_symbol
_atom_site_fract_x
_atom_site_fract_y
_atom_site_fract_z
Cr1 Cr 0.0000 0.0000 0.0000
Cr2 Cr 0.0000 0.0000 0.2606
Si1 Si 0.0000 0.0000 0.5229
Br1 Br 0.0000 0.0000 0.7476
```

Record 6
# YTe

A PBEsol-optimized structure of YTe (meta-GGA SCAN, Alexandria via LeMat-Bulk).

Values from the calculation:
Formation energy from raw total energies: -1097 meV/atom
Energy: -67.3 eV/f.u.
Spin magnetization: 0.8 μB/f.u.

```
data_YTe
_chemical_formula_sum 'Y4 Te4'
_cell_length_a 3.841
_cell_length_b 4.946
_cell_length_c 11.616
_cell_angle_alpha 90.00
_cell_angle_beta 90.00
_cell_angle_gamma 90.00
_symmetry_space_group_name_H-M 'I m m a'
_symmetry_Int_Tables_number 74
_symmetry_space_group_name_Hall '-I 2b 2'
loop_
_atom_site_label
_atom_site_type_symbol
_atom_site_fract_x
_atom_site_fract_y
_atom_site_fract_z
Y1 Y 0.000 0.250 0.112
Te1 Te 0.000 0.250 0.610
```

Record 7
# ZrFe2Br

A PBEsol-optimized structure of ZrFe2Br (meta-GGA SCAN, Alexandria via LeMat-Bulk).

Values from the calculation:
Formation energy from raw total energies: 190 meV/atom
Energy: -85.7 eV/f.u.
ΔE to the lowest computed polymorph: 74 meV per atom
Spin magnetization: 3.6 μB/f.u.

```
data_ZrFe2Br
_chemical_formula_sum 'Zr1 Fe2 Br1'
_cell_length_a 3.434
_cell_length_b 3.434
_cell_length_c 5.654
_cell_angle_alpha 90.00
_cell_angle_beta 90.00
_cell_angle_gamma 90.00
_symmetry_space_group_name_H-M 'P 4/m m m'
_symmetry_Int_Tables_number 123
_symmetry_space_group_name_Hall '-P 4 2'
loop_
_atom_site_label
_atom_site_type_symbol
_atom_site_fract_x
_atom_site_fract_y
_atom_site_fract_z
Zr1 Zr 0.000 0.000 0.000
Fe1 Fe 0.500 0.500 0.200
Br1 Br 0.000 0.000 0.500
```

Record 8
# Sr2HgW

A PBEsol-optimized structure of Sr2HgW (meta-GGA SCAN, Alexandria via LeMat-Bulk).

Values from the calculation:
Energy: -179.7 eV/f.u.
ΔE_f: 2.8 eV per formula unit
Spin magnetization: 0.0 μB/f.u.

```
data_Sr2HgW
_chemical_formula_sum 'Sr4 Hg2 W2'
_cell_length_a 12.074
_cell_length_b 3.198
_cell_length_c 5.751
_cell_angle_alpha 90.00
_cell_angle_beta 108.29
_cell_angle_gamma 90.00
_symmetry_space_group_name_H-M 'C 1 m 1'
_symmetry_Int_Tables_number 8
_symmetry_space_group_name_Hall 'C -2y'
loop_
_atom_site_label
_atom_site_type_symbol
_atom_site_fract_x
_atom_site_fract_y
_atom_site_fract_z
Sr1 Sr 0.000 0.000 0.000
Sr2 Sr 0.195 0.000 0.619
Hg1 Hg 0.258 0.500 0.158
W1 W 0.437 0.000 0.462
```

Record 9
# InCuPdC2

A PBEsol-optimized structure of InCuPdC2 (meta-GGA SCAN, Alexandria via LeMat-Bulk).

Values from the calculation:
Energy: -93.0 eV/f.u.
ΔE_f: 8.5 eV per formula unit
Spin magnetization: 0.0 μB/f.u.

```
data_InCuPdC2
_chemical_formula_sum 'In1 Cu1 Pd1 C2'
_cell_length_a 3.914
_cell_length_b 3.914
_cell_length_c 4.850
_cell_angle_alpha 90.00
_cell_angle_beta 90.00
_cell_angle_gamma 90.00
_symmetry_space_group_name_H-M 'P 4/m m m'
_symmetry_Int_Tables_number 123
_symmetry_space_group_name_Hall '-P 4 2'
loop_
_atom_site_label
_atom_site_type_symbol
_atom_site_fract_x
_atom_site_fract_y
_atom_site_fract_z
In1 In 0.000 0.000 0.000
Cu1 Cu 0.500 0.500 0.000
Pd1 Pd 0.500 0.500 0.500
C1 C 0.000 0.500 0.500
```

Record 10
# SrOs2Pt

A PBEsol-optimized structure of SrOs2Pt (meta-GGA SCAN, Alexandria via LeMat-Bulk).

Values from the calculation:
Energy: -232.3 eV/f.u.
ΔE to the lowest computed polymorph: 274 meV per atom
ΔE_f: 3.9 eV per formula unit
Spin magnetization: 0.0 μB/f.u.

```
data_SrOs2Pt
_chemical_formula_sum 'Sr2 Os4 Pt2'
_cell_length_a 3.991
_cell_length_b 3.991
_cell_length_c 8.625
_cell_angle_alpha 90.00
_cell_angle_beta 90.00
_cell_angle_gamma 90.00
_symmetry_space_group_name_H-M 'I 4/m m m'
_symmetry_Int_Tables_number 139
_symmetry_space_group_name_Hall '-I 4 2'
loop_
_atom_site_label
_atom_site_type_symbol
_atom_site_fract_x
_atom_site_fract_y
_atom_site_fract_z
Sr1 Sr 0.000 0.000 0.000
Os1 Os 0.000 0.500 0.250
Pt1 Pt 0.000 0.000 0.500
```